Entry 1:
First-principles (PBE) data for a relaxed LuZrNiPt crystal, as listed in Alexandria via LeMat-Bulk.

The value obtained for the volume is 295.8 Å³/cell. As for the formation energy: -73.1 kJ per mole of atoms.

The structure belongs to space group F-43m (No. 216); the cell edges are 6.6629, 6.6629 and 6.6629 Å and the angles 90.00°, 90.00° and 90.00°. The asymmetric unit holds Lu at (0.0000, 0.0000, 0.0000), Zr at (0.0000, 0.0000, 0.5000), Ni at (0.2500, 0.2500, 0.7500) and Pt at (0.2500, 0.2500, 0.2500).

---

Entry 2:
First-principles (PBE) data for a relaxed Tb2Pr3Sm6Th crystal, as listed in Alexandria via LeMat-Bulk.

The value obtained for the volume is 816.2 Å³/cell. As for the formation energy: 2.5 kJ per mole of atoms.

The structure belongs to space group C2/m (No. 12); the cell edges are 6.2980, 10.8906 and 12.0820 Å and the angles 90.00°, 99.98° and 90.00°. The asymmetric unit holds Tb at (0.0000, 0.1666, 0.0000), Pr at (0.0000, 0.0000, 0.5000), Pr at (0.0000, 0.3333, 0.5000), Sm at (0.2468, 0.3352, 0.2451), Sm at (0.2476, 0.5000, 0.7547) and Th at (0.0000, 0.5000, 0.0000).

---

Entry 3:
First-principles (PBE) data for a relaxed PCS2Cl crystal, as listed in Alexandria via LeMat-Bulk.

Its offset from the most stable computed form is 0.00 kcal/mol of atoms. The value obtained for the volume is 77.5 Å³/cell. As for the uncorrected formation energy: 1399.9 meV/atom.

The structure belongs to space group P4/mmm (No. 123); the cell edges are 4.0007, 4.0007 and 4.8452 Å and the angles 90.00°, 90.00° and 90.00°. The asymmetric unit holds P at (0.0000, 0.0000, 0.0000), C at (0.0000, 0.0000, 0.5000), S at (0.0000, 0.5000, 0.5000) and Cl at (0.5000, 0.5000, 0.0000).

---

Entry 4:
First-principles (PBE) data for a relaxed AcPm12Sm3 crystal, as listed in Alexandria via LeMat-Bulk.

The value obtained for the volume is 559.6 Å³/cell. As for the formation energy: 1.8 kJ per mole of atoms.

The structure belongs to space group P4/mmm (No. 123); the cell edges are 5.1912, 5.1912 and 20.7645 Å and the angles 90.00°, 90.00° and 90.00°. The asymmetric unit holds Ac at (0.0000, 0.0000, 0.0000), Pm at (0.0000, 0.5000, 0.1295), Pm at (0.0000, 0.5000, 0.3764), Pm at (0.5000, 0.5000, 0.0000), Pm at (0.5000, 0.5000, 0.2535), Pm at (0.5000, 0.5000, 0.5000), Sm at (0.0000, 0.0000, 0.2524) and Sm at (0.0000, 0.0000, 0.5000).

---

Entry 5:
First-principles (PBE) data for a relaxed HgPbCl6 crystal, as listed in Alexandria via LeMat-Bulk.

Its offset from the most stable computed form is 0.00 kcal/mol of atoms. The value obtained for the volume is 512.6 Å³/cell. As for the uncorrected formation energy: -563.4 meV/atom.

The structure belongs to space group C2/m (No. 12); the cell edges are 6.7212, 12.1005 and 6.7221 Å and the angles 90.00°, 110.34° and 90.00°. The asymmetric unit holds Hg at (0.0000, 0.0000, 0.0000), Pb at (0.0000, 0.5000, 0.5000), Cl at (0.2253, 0.5000, 0.2737) and Cl at (0.2469, 0.1483, 0.2473).

---

Entry 6:
First-principles (PBE) data for a relaxed TcOsBr2 crystal, as listed in Alexandria via LeMat-Bulk.

Its offset from the most stable computed form is 9.62 kcal/mol of atoms. The value obtained for the volume is 200.9 Å³/cell. As for the uncorrected formation energy: 697.2 meV/atom.

The structure belongs to space group C2/m (No. 12); the cell edges are 15.8669, 3.2490 and 3.8981 Å and the angles 90.00°, 90.87° and 90.00°. The asymmetric unit holds Tc at (0.0000, 0.0000, 0.0000), Os at (0.0000, 0.5000, 0.5000) and Br at (0.1466, 0.5000, 0.7415).

---

Entry 7:
First-principles (PBE) data for a relaxed Mg3AgS crystal, as listed in Alexandria via LeMat-Bulk.

Its offset from the most stable computed form is 0.00 kcal/mol of atoms. The value obtained for the volume is 111.2 Å³/cell. As for the uncorrected formation energy: -159.2 meV/atom.

The structure belongs to space group Pm-3m (No. 221); the cell edges are 4.8092, 4.8092 and 4.8092 Å and the angles 90.00°, 90.00° and 90.00°. The asymmetric unit holds Mg at (0.0000, 0.0000, 0.5000), Ag at (0.5000, 0.5000, 0.5000) and S at (0.0000, 0.0000, 0.0000).

---

Entry 8:
First-principles (PBE) data for a relaxed GaSn2Te2 crystal, as listed in Alexandria via LeMat-Bulk.

Its offset from the most stable computed form is 0.00 kcal/mol of atoms. The value obtained for the volume is 304.0 Å³/cell. As for the uncorrected formation energy: -35.1 meV/atom.

The structure belongs to space group P4/mbm (No. 127); the cell edges are 8.4765, 8.4765 and 4.2315 Å and the angles 90.00°, 90.00° and 90.00°. The asymmetric unit holds Ga at (0.0000, 0.0000, 0.0000), Sn at (0.1442, 0.3558, 0.5000) and Te at (0.1629, 0.6629, 0.0000).